# 1
Below is a geometry-optimized Hg3GeB structure, with properties calculated at the PBE-GGA level.

Results
The calculation puts the relative energy among the computed polymorphs at 477.2 meV/atom. The crystal system is cubic. For the total energy, the calculation gives -1.212 eV per atom.

Lattice parameters (Å, degrees): 5.333 5.333 5.333 90.00 90.00 90.00
Space group Pm-3m (No. 221)
Inequivalent atoms, fractional coordinates:
Hg (0.000, 0.000, 0.500) [3 per cell]
Ge (0.000, 0.000, 0.000) [1 per cell]
B (0.500, 0.500, 0.500) [1 per cell]

# 2
Below is a geometry-optimized ReBrOF2 structure, with properties calculated at the PBE-GGA level.

Results
The calculation puts the relative energy among the computed polymorphs at 1676.8 meV/atom. The crystal system is tetragonal. For the total energy, the calculation gives -3.684 eV per atom. The value obtained for the uncorrected formation energy is 4.40 eV/f.u.

Lattice parameters (Å, degrees): 4.928 4.928 3.702 90.00 90.00 90.00
Space group P4/mmm (No. 123)
Inequivalent atoms, fractional coordinates:
Re (0.000, 0.000, 0.000) [1 per cell]
Br (0.500, 0.500, 0.500) [1 per cell]
O (0.500, 0.500, 0.000) [1 per cell]
F (0.000, 0.500, 0.500) [2 per cell]

# 3
Below is a geometry-optimized CdFe2Si structure, with properties calculated at the PBE-GGA level.

Results
The calculation puts the relative energy among the computed polymorphs at 232.6 meV/atom. The crystal system is monoclinic. For the total energy, the calculation gives -5.594 eV per atom. The value obtained for the uncorrected formation energy is 0.89 eV/f.u.

Lattice parameters (Å, degrees): 8.003 2.672 5.448 90.00 100.23 90.00
Space group C2/m (No. 12)
Inequivalent atoms, fractional coordinates:
Cd (0.000, 0.000, 0.000) [2 per cell]
Fe (0.236, 0.000, 0.696) [4 per cell]
Si (0.000, 0.500, 0.500) [2 per cell]